# Co2OsF

A relaxed Co2OsF crystal (PBEsol, the Alexandria database).

Lattice parameters (Å, degrees): 3.9934 3.9934 3.9934 60.00 60.00 60.00
Site moments in Bohr magnetons follow the coordinates.
Fractional positions:
F: 0.0000 0.0000 0.0000  -0.01
Co: 0.7500 0.7500 0.7500  0.36
Co: 0.2500 0.2500 0.2500  0.36
Os: 0.5000 0.5000 0.5000  0.12

Calculated values
The value obtained for the density of states at the Fermi level is 4.8 states/eV/f.u. Its uncorrected formation energy is 0.52 eV per atom. As for the crystal system: cubic.